# 1
The following is a DFT calculation (PBE) of crystalline Cu2W at its relaxed geometry.

Calculated values
Magnetic moment: 0.0 μB per formula unit
Space-group type: No. 194
Energy relative to the elements: 1.8 eV per formula unit

a = 4.259 Å, b = 4.259 Å, c = 5.160 Å
α = 90.00°, β = 90.00°, γ = 120.00°
Fractional coordinates of all 6 atoms:
Cu: 0.000 0.000 0.500
Cu: 0.333 0.667 0.250
Cu: 0.000 0.000 0.000
Cu: 0.667 0.333 0.750
W: 0.333 0.667 0.750
W: 0.667 0.333 0.250

---

# 2
The following is a DFT calculation (PBE) of crystalline TlCd3Hg at its relaxed geometry.

Calculated values
Energy above the most stable polymorph in this dataset: 0.059 eV/atom
Magnetic moment: 0.0 μB per formula unit
Space-group type: No. 194
Energy relative to the elements: 0.5 eV per formula unit

a = 6.393 Å, b = 7.124 Å, c = 7.124 Å
α = 120.02°, β = 90.00°, γ = 90.00°
Fractional coordinates of all 10 atoms:
Tl: 0.750 0.667 0.333
Tl: 0.250 0.333 0.667
Hg: 0.500 0.000 0.000
Hg: 0.000 0.000 0.000
Cd: 0.750 0.197 0.394
Cd: 0.250 0.394 0.197
Cd: 0.250 0.803 0.197
Cd: 0.750 0.606 0.803
Cd: 0.750 0.197 0.803
Cd: 0.250 0.803 0.606

---

# 3
The following is a DFT calculation (PBE) of crystalline Zr2AgPb at its relaxed geometry.

Calculated values
Magnetic moment: 0.0 μB per formula unit
Space-group type: No. 8
Energy relative to the elements: -0.2 eV per formula unit

a = 6.060 Å, b = 6.060 Å, c = 5.204 Å
α = 64.41°, β = 64.41°, γ = 31.52°
Fractional coordinates of all 4 atoms:
Zr: 0.991 0.991 0.007
Zr: 0.241 0.241 0.261
Pb: 0.765 0.765 0.737
Ag: 0.504 0.504 0.494

---

# 4
The following is a DFT calculation (PBE) of crystalline YRe2Tc at its relaxed geometry.

Calculated values
Energy above the most stable polymorph in this dataset: 0.021 eV/atom
Magnetic moment: 0.0 μB per formula unit
Space-group type: No. 216
Energy relative to the elements: 0.9 eV per formula unit

a = 4.569 Å, b = 4.569 Å, c = 4.569 Å
α = 120.04°, β = 120.04°, γ = 89.92°
Fractional coordinates of all 4 atoms:
Tc: 0.500 0.500 0.000
Y: 0.750 0.250 0.500
Re: 0.000 0.000 0.000
Re: 0.250 0.750 0.500